A geometry-optimized NbAsW structure, computed with PBE-GGA.

Cell lengths 6.921, 3.335, 9.960 Å; angles 90.00, 114.39, 90.00 degrees
Fractional positions:
Nb 0.249 0.000 0.451
Nb 0.249 0.500 0.951
Nb 0.590 0.000 0.949
Nb 0.590 0.500 0.449
As 0.981 0.000 0.979
As 0.981 0.500 0.479
As 0.661 0.000 0.681
As 0.661 0.500 0.181
W 0.057 0.000 0.704
W 0.057 0.500 0.204
W 0.385 0.000 0.202
W 0.385 0.500 0.702

Output
Crystal system: monoclinic
Energy relative to the lowest polymorph listed for this composition (meV per atom): 19
SG: Cm

***

A geometry-optimized NbAsW structure, computed with PBE-GGA.

Cell lengths 4.541, 3.217, 6.807 Å; angles 90.00, 95.15, 90.00 degrees
Fractional positions:
Nb 0.262 0.000 0.320
Nb 0.978 0.000 0.679
As 0.068 0.500 0.000
As 0.468 0.500 0.643
W 0.537 0.000 0.968
W 0.756 0.500 0.312

Output
Crystal system: monoclinic
Energy relative to the lowest polymorph listed for this composition (meV per atom): 75
SG: Pm

***

A geometry-optimized Y2NbAsW structure, computed with PBE-GGA.

Cell lengths 5.256, 4.655, 5.256 Å; angles 90.00, 90.00, 90.00 degrees
Site moments in Bohr magnetons follow the coordinates.
Fractional positions:
Y 0.000 0.000 0.500  0.02
Y 0.500 0.000 0.000  0.03
Nb 0.500 0.500 0.500  0.14
As 0.000 0.000 0.000  -0.01
W 0.000 0.500 0.000  0.39

Output
Crystal system: tetragonal
SG: P4/mmm

***

A geometry-optimized Y3NbAs structure, computed with PBE-GGA.

Cell lengths 5.353, 5.353, 5.353 Å; angles 90.00, 90.00, 90.00 degrees
Fractional positions:
Y 0.000 0.500 0.000
Y 0.000 0.000 0.500
Y 0.500 0.000 0.000
Nb 0.000 0.000 0.000
As 0.500 0.500 0.500

Output
Crystal system: cubic
Energy relative to the lowest polymorph listed for this composition (meV per atom): 344
SG: Pm-3m

***

A geometry-optimized YNbAs2 structure, computed with PBE-GGA.

Cell lengths 4.792, 4.792, 4.792 Å; angles 60.00, 60.00, 60.00 degrees
Site moments in Bohr magnetons follow the coordinates.
Fractional positions:
Y 0.000 0.000 0.000  0.04
Nb 0.500 0.500 0.500  0.38
As 0.250 0.250 0.250  0.00
As 0.750 0.750 0.750  0.00

Output
Crystal system: cubic
Energy relative to the lowest polymorph listed for this composition (meV per atom): 301
SG: Fm-3m

***

A geometry-optimized YNbAs2 structure, computed with PBE-GGA.

Cell lengths 6.101, 6.101, 7.550 Å; angles 66.17, 66.17, 90.00 degrees
Site moments in Bohr magnetons follow the coordinates.
Fractional positions:
Y 0.500 0.500 0.000  0.04
Y 0.250 0.750 0.500  0.04
Nb 0.000 0.000 0.000  0.75
Nb 0.750 0.250 0.500  0.75
As 0.665 0.125 0.250  -0.02
As 0.085 0.625 0.250  -0.02
As 0.375 0.335 0.750  -0.02
As 0.875 0.915 0.750  -0.02

Output
Crystal system: tetragonal
Energy relative to the lowest polymorph listed for this composition (meV per atom): 569
SG: I-42d

***

A geometry-optimized YNb2As2 structure, computed with PBE-GGA.

Cell lengths 4.922, 4.922, 5.567 Å; angles 63.76, 63.76, 90.00 degrees
Fractional positions:
Y 0.000 0.000 0.000
Nb 0.364 0.364 0.273
Nb 0.636 0.636 0.727
As 0.750 0.250 0.500
As 0.250 0.750 0.500

Output
Crystal system: tetragonal
Energy relative to the lowest polymorph listed for this composition (meV per atom): 254
SG: I4/mmm

***

A geometry-optimized YNb2As structure, computed with PBE-GGA.

Cell lengths 4.025, 4.025, 10.784 Å; angles 79.24, 79.24, 90.00 degrees
Fractional positions:
Y 0.000 0.000 0.000
Y 0.750 0.250 0.500
Nb 0.141 0.125 0.250
Nb 0.609 0.625 0.250
Nb 0.375 0.859 0.750
Nb 0.875 0.391 0.750
As 0.500 0.500 0.000
As 0.250 0.750 0.500

Output
Crystal system: tetragonal
SG: I-42d

***

A geometry-optimized YNbAs2 structure, computed with PBE-GGA.

Cell lengths 3.880, 3.880, 6.831 Å; angles 73.50, 73.50, 60.00 degrees
Fractional positions:
Y 0.500 0.500 0.500
Nb 0.000 0.000 0.000
As 0.258 0.258 0.227
As 0.742 0.742 0.773

Output
Crystal system: trigonal
Energy relative to the lowest polymorph listed for this composition (meV per atom): 0
SG: R-3m

***

A geometry-optimized YNb2As2 structure, computed with PBE-GGA.

Cell lengths 3.974, 3.974, 7.033 Å; angles 73.59, 73.59, 90.00 degrees
Fractional positions:
Y 0.000 0.000 0.000
Nb 0.750 0.250 0.500
Nb 0.250 0.750 0.500
As 0.388 0.388 0.224
As 0.612 0.612 0.776

Output
Crystal system: tetragonal
Energy relative to the lowest polymorph listed for this composition (meV per atom): 0
SG: I4/mmm

***

A geometry-optimized Y3NbAs structure, computed with PBE-GGA.

Cell lengths 5.364, 5.364, 5.364 Å; angles 90.00, 90.00, 90.00 degrees
Site moments in Bohr magnetons follow the coordinates.
Fractional positions:
Y 0.000 0.500 0.000  0.00
Y 0.000 0.000 0.500  0.03
Y 0.500 0.000 0.000  -0.01
Nb 0.500 0.500 0.500  2.02
As 0.000 0.000 0.000  0.02

Output
Crystal system: cubic
Energy relative to the lowest polymorph listed for this composition (meV per atom): 0
SG: Pm-3m

***

A geometry-optimized YNb2As2 structure, computed with PBE-GGA.

Cell lengths 7.487, 7.487, 3.398 Å; angles 90.00, 90.00, 90.00 degrees
Fractional positions:
Y 0.000 0.000 0.000
Y 0.500 0.500 0.000
Nb 0.142 0.642 0.500
Nb 0.642 0.858 0.500
Nb 0.858 0.358 0.500
Nb 0.358 0.142 0.500
As 0.356 0.856 0.000
As 0.856 0.644 0.000
As 0.644 0.144 0.000
As 0.144 0.356 0.000

Output
Crystal system: tetragonal
Energy relative to the lowest polymorph listed for this composition (meV per atom): 129
SG: P4/mbm

***

For reference, DFT formation energy by record: -0.23; -0.06; 3.29; 2.46; -2.44; -1.37; -2.23; 0.11; -3.64; -3.50; 0.74; -2.86 eV/f.u..
For reference, electronic total energy by record: -9.302; -9.246; -7.462; -6.329; -7.068; -6.800; -7.627; -7.787; -7.369; -7.881; -6.674; -7.752 eV/atom.